Record 1
VASP calculation (PBE) on a geometry-optimized K5NpO5 structure.

Properties
ΔE_f (raw) ... -1895 meV per atom
Final energy ... -64.07 eV per formula unit
SG ... C2 (5)

```
K5NpO5
1.0
5.1852 0.0000 1.7296
2.0481 5.7466 2.4973
0.1232 1.4164 8.2680
K Np O
5 1 5
Direct
0.3219 0.0578 0.3086
0.3374 0.4927 0.8468
0.0100 0.5000 0.5000
0.6769 0.5073 0.1532
0.6883 0.9422 0.6914
0.0303 0.0000 0.0000
0.1321 0.6138 0.1340
0.1363 0.9981 0.7380
0.4144 0.0000 0.0000
0.8723 0.0019 0.2620
0.8800 0.3862 0.8660
```

Record 2
VASP calculation (PBE) on a geometry-optimized K2Np3O10 structure.

Properties
ΔE_f (raw) ... -2610 meV per atom
Final energy ... -129.76 eV per formula unit
SG ... C2/m (12)

```
K2Np3O10
1.0
6.4306 0.0000 -2.0929
-1.0188 7.8102 -3.1302
-0.1806 -0.0581 10.3704
K Np O
4 6 20
Direct
0.7018 0.3380 0.4037
0.2982 0.6620 0.5963
0.6078 0.7198 0.2157
0.3922 0.2802 0.7843
0.9190 0.5233 0.8379
0.0810 0.4767 0.1621
0.8150 0.9849 0.6301
0.1850 0.0151 0.3699
0.7478 0.0000 0.0000
0.2522 0.0000 0.0000
0.6508 0.9771 0.7915
0.1406 0.9771 0.7915
0.3492 0.0229 0.2085
0.8594 0.0229 0.2085
0.6462 0.5198 0.7109
0.0647 0.5198 0.7109
0.3538 0.4802 0.2891
0.9353 0.4802 0.2891
0.9768 0.8251 0.9536
0.0232 0.1749 0.0464
0.8648 0.2291 0.7296
0.1352 0.7709 0.2704
0.7685 0.7503 0.5369
0.2315 0.2497 0.4631
0.4796 0.8361 0.9593
0.5204 0.1639 0.0407
0.8084 0.5000 0.0000
0.1916 0.5000 0.0000
0.5000 0.0000 0.5000
0.0000 0.0000 0.5000
```

Record 3
VASP calculation (PBE) on a geometry-optimized KNpO2 structure.

Properties
ΔE_f (raw) ... -2183 meV per atom
Final energy ... -32.69 eV per formula unit
SG ... R3m (160)

```
KNpO2
1.0
3.5370 0.0000 0.0000
1.7685 3.0631 0.0000
1.7685 1.0210 6.4537
K Np O
1 1 2
Direct
0.4959 0.4959 0.5124
0.6675 0.6675 0.9975
0.0639 0.0639 0.8083
0.2727 0.2727 0.1818
```

Record 4
VASP calculation (PBE) on a geometry-optimized KNpO2 structure.

Properties
ΔE_f (raw) ... -1881 meV per atom
Final energy ... -31.48 eV per formula unit
SG ... P4/mmm (123)

```
KNpO2
1.0
3.0277 0.0000 0.0000
0.0000 3.0277 0.0000
0.0000 0.0000 6.5879
Np K O
1 1 2
Direct
0.5000 0.5000 0.0000
0.5000 0.5000 0.5000
0.0000 0.0000 0.7985
0.0000 0.0000 0.2015
```

Record 5
VASP calculation (PBE) on a geometry-optimized K5Np2O12 structure.

Properties
ΔE_f (raw) ... -1919 meV per atom
Final energy ... -127.33 eV per formula unit
SG ... P-1 (2)

```
K5Np2O12
1.0
-5.3629 1.8885 3.3061
0.4614 -6.1920 5.9688
1.7741 3.3159 6.3882
K Np O
5 2 12
Direct
0.9985 0.1939 0.2867
0.4986 0.4625 0.2530
0.5000 0.0000 0.0000
0.5014 0.5375 0.7470
0.0015 0.8061 0.7133
0.9948 0.7512 0.2406
0.0052 0.2488 0.7594
0.9005 0.0228 0.0688
0.2554 0.2136 0.5419
0.2578 0.6731 0.0654
0.8332 0.1295 0.6818
0.8197 0.6748 0.1254
0.9316 0.4645 0.4684
0.0684 0.5355 0.5316
0.1668 0.8705 0.3182
0.1803 0.3252 0.8746
0.7446 0.7864 0.4581
0.7422 0.3269 0.9346
0.0995 0.9772 0.9312
```

Record 6
VASP calculation (PBE) on a geometry-optimized KNp2O6 structure.

Properties
ΔE_f (raw) ... -2686 meV per atom
Final energy ... -80.91 eV per formula unit
ΔE to the lowest computed polymorph ... 0 meV per atom
SG ... C2/m (12)

```
KNp2O6
1.0
5.5995 0.0047 0.0027
0.0024 5.0971 -2.9442
0.0024 -0.0013 5.8863
K Np O
1 2 6
Direct
0.0000 0.0000 0.0000
0.5000 0.6666 0.3334
0.5000 0.3334 0.6666
0.6881 0.6180 0.6180
0.3121 0.6190 0.0006
0.3121 0.0006 0.6190
0.6879 0.3810 0.9994
0.3119 0.3820 0.3820
0.6879 0.9994 0.3810
```